Record 1
Material: CuSb2Se
Method: DFT, PBE
State: optimized geometry

a = 5.4678 Å, b = 5.4678 Å, c = 5.4678 Å
α = 131.55°, β = 131.55°, γ = 70.95°
With the nearest neighbours (Å) after each atom.
Element x y z (fractional)
Cu  0.7500  0.2500  0.5000  8 Sb 3.16, 4 Se 3.17
Sb  0.5000  0.5000  0.0000  4 Cu 3.16, 4 Se 3.16, 4 Sb 3.17
Se  0.2500  0.7500  0.5000  8 Sb 3.16, 4 Cu 3.17
Sb  0.0000  0.0000  0.0000  4 Se 3.16, 4 Cu 3.16, 4 Sb 3.17

Output
The size of the total moment is 0.000 μB per formula unit. As for the formation energy from raw total energies: 36.3 kJ/mol of atoms. The space group is No. 139.

Record 2
Material: CuSb3Se
Method: DFT, PBE
State: optimized geometry

a = 5.0732 Å, b = 5.0732 Å, c = 5.0732 Å
α = 90.00°, β = 90.00°, γ = 90.00°
With the nearest neighbours (Å) after each atom.
Element x y z (fractional)
Sb  0.0000  0.0000  0.5000  2 Cu 2.54
Sb  0.0000  0.5000  0.0000  2 Cu 2.54
Se  0.5000  0.5000  0.5000  12 Sb 3.59
Cu  0.0000  0.0000  0.0000  6 Sb 2.54
Sb  0.5000  0.0000  0.0000  2 Cu 2.54

Output
The size of the total moment is 0.000 μB per formula unit. As for the formation energy from raw total energies: 49.4 kJ/mol of atoms. The space group is No. 221.

Record 3
Material: Cu3SbSe
Method: DFT, PBE
State: optimized geometry

a = 4.6443 Å, b = 4.6443 Å, c = 4.6443 Å
α = 90.00°, β = 90.00°, γ = 90.00°
With the nearest neighbours (Å) after each atom.
Element x y z (fractional)
Cu  0.0000  0.5000  0.0000  2 Se 2.32
Cu  0.0000  0.0000  0.5000  2 Se 2.32
Se  0.0000  0.0000  0.0000  6 Cu 2.32
Sb  0.5000  0.5000  0.5000  12 Cu 3.28
Cu  0.5000  0.0000  0.0000  2 Se 2.32

Output
The size of the total moment is 0.000 μB per formula unit. As for the energy above the most stable polymorph in this dataset: 0 meV per atom. As for the formation energy from raw total energies: 45.1 kJ/mol of atoms. The space group is No. 221.

Number 1: uncorrected energy -14.3 eV per cell, mass density 7.148 g/cm³. Number 2: uncorrected energy -17.4 eV per cell, mass density 6.458 g/cm³. Number 3: uncorrected energy -17.6 eV per cell, mass density 6.487 g/cm³.